# 1
CoNi2RhC: optimized geometry, PBE-GGA.

As for the crystal system: tetragonal. As for the energy of formation from the pure elements: 1.309 eV per formula unit.

It has space group P4/mmm (No. 123), with a = 3.797 Å, b = 3.797 Å, c = 3.771 Å, α = 90.00°, β = 90.00° and γ = 90.00°. The distinct sites, in fractional coordinates, are Co at (0.000, 0.000, 0.000), Ni at (0.000, 0.500, 0.500), Rh at (0.500, 0.500, 0.000) and C at (0.000, 0.000, 0.500).


# 2
Co2NiSbC: optimized geometry, PBE-GGA.

Its energy relative to the elements, uncorrected is 0.50 eV/atom. As for the crystal system: tetragonal.

It has space group P4/mmm (No. 123), with a = 3.688 Å, b = 3.688 Å, c = 4.832 Å, α = 90.00°, β = 90.00° and γ = 90.00°. The distinct sites, in fractional coordinates, are Co at (0.000, 0.500, 0.000), Ni at (0.000, 0.000, 0.500), Sb at (0.500, 0.500, 0.500) and C at (0.500, 0.500, 0.000).


# 3
CoNiCSe2: optimized geometry, PBE-GGA.

Its energy relative to the elements, uncorrected is 0.97 eV/atom. As for the crystal system: tetragonal.

It has space group P4/mmm (No. 123), with a = 4.466 Å, b = 4.466 Å, c = 3.588 Å, α = 90.00°, β = 90.00° and γ = 90.00°. The distinct sites, in fractional coordinates, are Co at (0.000, 0.000, 0.000), Ni at (0.500, 0.500, 0.000), C at (0.000, 0.000, 0.500) and Se at (0.000, 0.500, 0.500).


# 4
Co2NiSnC: optimized geometry, PBE-GGA.

As for the crystal system: tetragonal. As for the energy of formation from the pure elements: 0.113 eV per formula unit.

It has space group P4/mmm (No. 123), with a = 3.830 Å, b = 3.830 Å, c = 3.906 Å, α = 90.00°, β = 90.00° and γ = 90.00°. The distinct sites, in fractional coordinates, are Co at (0.000, 0.500, 0.000), Ni at (0.000, 0.000, 0.500), Sn at (0.500, 0.500, 0.500) and C at (0.000, 0.000, 0.000).


Number 1: total magnetization 2.56 μB per formula unit, DOS at the Fermi energy 8.592 states/eV/cell, E_tot -0.49883 Ry per atom. Number 2: total magnetization 1.20 μB per formula unit, DOS at the Fermi energy 4.453 states/eV/cell, E_tot -0.45307 Ry per atom. Number 3: total magnetization 0.22 μB per formula unit, DOS at the Fermi energy 4.383 states/eV/cell, E_tot -0.35592 Ry per atom. Number 4: total magnetization 0.81 μB per formula unit, DOS at the Fermi energy 3.360 states/eV/cell, E_tot -0.48666 Ry per atom.